Record 1
# TcAg4Os, relaxed, DFT PBE
data_TcAg4Os
_cell_length_a 7.430
_cell_length_b 7.430
_cell_length_c 7.430
_cell_angle_alpha 90.00
_cell_angle_beta 90.00
_cell_angle_gamma 90.00
_symmetry_space_group_name_H-M 'F -4 3 m'
_symmetry_Int_Tables_number 216
_symmetry_space_group_name_Hall 'F -4 2 3'
loop_
_atom_site_label
_atom_site_type_symbol
_atom_site_fract_x
_atom_site_fract_y
_atom_site_fract_z
_atom_site_occupancy
Tc1 Tc 0.000 0.000 0.000 1
Ag1 Ag 0.125 0.125 0.625 1
Os1 Os 0.250 0.250 0.250 1
# - ΔE_f (eV per atom) = 1.02
# - E (eV for the cell shown) = -107.52
# - total magnetization (μB per cell) = 4.97
# - theoretical density (g/cm³) = 11.65


Record 2
# TcAg2Os, relaxed, DFT PBE
data_TcAg2Os
_cell_length_a 7.489
_cell_length_b 7.489
_cell_length_c 5.100
_cell_angle_alpha 90.00
_cell_angle_beta 90.00
_cell_angle_gamma 90.00
_symmetry_space_group_name_H-M 'I -4 2 d'
_symmetry_Int_Tables_number 122
_symmetry_space_group_name_Hall 'I -4 2bw'
loop_
_atom_site_label
_atom_site_type_symbol
_atom_site_fract_x
_atom_site_fract_y
_atom_site_fract_z
_atom_site_occupancy
Tc1 Tc 0.000 0.000 0.000 1
Ag1 Ag 0.245 0.250 0.625 1
Os1 Os 0.000 0.000 0.500 1
# - ΔE_f (eV per atom) = 1.38
# - E (eV for the cell shown) = -87.09
# - total magnetization (μB per cell) = 8.48
# - distance to the lowest polymorph of the same formula (meV/atom) = 1119.9
# - theoretical density (g/cm³) = 11.70